## Ca3B2SbPd9 (PBE-GGA)

Data for a relaxed Ca3B2SbPd9 crystal.

Values from the calculation:
- V (A^3/atom) = 18.26
- space-group type = P-3m1
- uncorrected formation energy (eV/atom) = -0.60
- uncorrected energy (eV/atom) = -5.284

```
Ca3B2SbPd9
1.0
5.915 0.000 0.000
-2.957 5.122 0.000
0.000 0.000 9.040
Ca B Sb Pd
3 2 1 9
direct
0.000 0.000 0.000
0.333 0.667 0.637
0.667 0.333 0.363
0.333 0.667 0.142
0.667 0.333 0.858
0.000 0.000 0.500
0.000 0.500 0.000
0.166 0.332 0.272
0.166 0.834 0.272
0.332 0.166 0.728
0.500 0.000 0.000
0.500 0.500 0.000
0.668 0.834 0.272
0.834 0.166 0.728
0.834 0.668 0.728
```